Computed, not measured: a geometry-optimized Tb3Fe5O12 structure at the GGA+U level of DFT.

Values from the calculation:
Electronic total energy in eV per cell: -1175.77
Theoretical density in g/cm³: 6.35

```
data_Tb3Fe5O12
_cell_length_a 12.566
_cell_length_b 12.566
_cell_length_c 12.566
_cell_angle_alpha 90.00
_cell_angle_beta 90.00
_cell_angle_gamma 90.00
_symmetry_space_group_name_H-M 'I a -3 d'
_symmetry_Int_Tables_number 230
_symmetry_space_group_name_Hall '-I 4bd 2c 3'
loop_
_atom_site_label
_atom_site_type_symbol
_atom_site_fract_x
_atom_site_fract_y
_atom_site_fract_z
_atom_site_occupancy
Tb1 Tb 0.000 0.250 0.125 1
Fe1 Fe 0.000 0.000 0.000 1
Fe2 Fe 0.000 0.250 0.375 1
O1 O 0.026 0.057 0.651 1
```